1.
Crystalline Ac2TlPb at its relaxed geometry, computed with PBE.

Cell lengths 5.5522, 5.5522, 4.5892 Å; angles 90.00, 90.00, 90.00 degrees
Closest atoms and distances in Å follow each position.
Atoms (fractional coordinates):
Ac 0.0000 0.5000 0.0000  4 Pb 3.60, 4 Tl 3.60, 4 Ac 3.93
Ac 0.5000 0.0000 0.0000  4 Pb 3.60, 4 Tl 3.60, 4 Ac 3.93
Tl 0.0000 0.0000 0.5000  8 Ac 3.60, 4 Pb 3.93
Pb 0.5000 0.5000 0.5000  8 Ac 3.60, 4 Tl 3.93

The spin magnetization comes out at 0.00 μB per formula unit. Its raw total energy is -4.007 eV/atom. The symmetry is P4/mmm, No. 123.

2.
Crystalline La5Dy2YTm at its relaxed geometry, computed with PBE.

Cell lengths 11.2719, 11.2719, 10.5807 Å; angles 90.00, 90.00, 151.68 degrees
Closest atoms and distances in Å follow each position.
Atoms (fractional coordinates):
La 0.0001 0.9999 0.0000  2 Y 3.45, 4 Dy 3.72, 6 La 3.78-3.82
La 0.9999 0.0001 0.5000  2 Y 3.45, 4 Dy 3.72, 6 La 3.78-3.82
La 0.1238 0.8762 0.7501  1 Tm 3.65, 6 La 3.78-3.91, 4 Dy 3.81
La 0.2205 0.7795 0.4409  2 La 3.29, 1 Y 3.30, 3 Tm 3.42-3.62, 3 Dy 3.66-3.67
La 0.2210 0.7790 0.0602  2 La 3.29, 1 Y 3.30, 3 Tm 3.42-3.61, 3 Dy 3.66-3.67
La 0.4989 0.5011 0.7500  2 Y 3.52, 4 Dy 3.63-3.64, 6 La 3.82-3.88
La 0.5011 0.4989 0.2500  2 Y 3.52, 4 Dy 3.63-3.64, 6 La 3.82-3.88
La 0.7790 0.2210 0.5602  2 La 3.29, 1 Y 3.30, 3 Tm 3.42-3.61, 3 Dy 3.66-3.67
La 0.7795 0.2205 0.9409  2 La 3.29, 1 Y 3.30, 3 Tm 3.42-3.62, 3 Dy 3.66-3.67
La 0.8762 0.1238 0.2501  1 Tm 3.65, 6 La 3.78-3.91, 4 Dy 3.81
Dy 0.3862 0.6138 0.0023  1 Tm 3.39, 7 La 3.63-3.72
Dy 0.3858 0.6142 0.4978  1 Tm 3.39, 7 La 3.64-3.72
Dy 0.6138 0.3862 0.5023  1 Tm 3.39, 7 La 3.63-3.72
Dy 0.6142 0.3858 0.9978  1 Tm 3.39, 7 La 3.64-3.72
Y 0.1010 0.8990 0.2500  6 La 3.30-3.52, 2 Tm 3.64
Y 0.8990 0.1010 0.7500  6 La 3.30-3.52, 2 Tm 3.64
Tm 0.2906 0.7094 0.7505  2 Dy 3.39, 7 La 3.42-3.65, 2 Y 3.64
Tm 0.7094 0.2906 0.2505  2 Dy 3.39, 7 La 3.42-3.65, 2 Y 3.64

The spin magnetization comes out at 0.00 μB per formula unit. Its raw total energy is -4.849 eV/atom. The symmetry is Cmc2_1, No. 36.

3.
Crystalline Pm3PdC at its relaxed geometry, computed with PBE.

Cell lengths 7.8418, 6.5371, 9.4856 Å; angles 90.00, 97.04, 90.00 degrees
Closest atoms and distances in Å follow each position.
Atoms (fractional coordinates):
Pm 0.0815 0.0579 0.1770  3 C 2.52-2.78
Pm 0.0815 0.4421 0.6770  3 C 2.52-2.78
Pm 0.2136 0.5793 0.0539  2 C 2.53-2.61
Pm 0.2136 0.9207 0.5539  2 C 2.53-2.61
Pm 0.3664 0.1608 0.8967  1 C 2.44
Pm 0.3664 0.3392 0.3967  1 C 2.44
Pm 0.6336 0.6608 0.6033  1 C 2.44
Pm 0.6336 0.8392 0.1033  1 C 2.44
Pm 0.7864 0.0793 0.4461  2 C 2.53-2.61
Pm 0.7864 0.4207 0.9461  2 C 2.53-2.61
Pm 0.9185 0.5579 0.3230  3 C 2.52-2.78
Pm 0.9185 0.9421 0.8230  3 C 2.52-2.78
Pd 0.4056 0.7069 0.8312  5 Pm 2.86-3.19
Pd 0.4056 0.7931 0.3312  5 Pm 2.86-3.19
Pd 0.5944 0.2069 0.6688  5 Pm 2.86-3.19
Pd 0.5944 0.2931 0.1688  5 Pm 2.86-3.19
C 0.0739 0.2485 0.9367  5 Pm 2.44-2.61
C 0.0739 0.2515 0.4367  5 Pm 2.44-2.61
C 0.9261 0.7485 0.5633  5 Pm 2.44-2.61
C 0.9261 0.7515 0.0633  5 Pm 2.44-2.61

The energy above the most stable polymorph in this dataset comes out at 0.0 meV per atom. The spin magnetization comes out at 0.00 μB per formula unit. Its raw total energy is -6.044 eV/atom. The symmetry is P2_1/c, No. 14.

4.
Crystalline ScHg2Mo at its relaxed geometry, computed with PBE.

Cell lengths 10.0205, 3.0475, 5.3190 Å; angles 90.00, 99.95, 90.00 degrees
Closest atoms and distances in Å follow each position.
Atoms (fractional coordinates):
Sc 0.0000 0.0000 0.0000  6 Hg 3.04-3.07, 2 Sc 3.05, 4 Mo 3.07
Sc 0.5000 0.5000 0.0000  6 Hg 3.04-3.07, 2 Sc 3.05, 4 Mo 3.07
Hg 0.2480 0.0000 0.7405  6 Hg 2.98-3.15, 3 Mo 3.01-3.02, 3 Sc 3.04-3.07
Hg 0.2520 0.5000 0.2595  6 Hg 2.98-3.15, 3 Mo 3.01-3.02, 3 Sc 3.04-3.07
Hg 0.7480 0.5000 0.7405  6 Hg 2.98-3.15, 3 Mo 3.01-3.02, 3 Sc 3.04-3.07
Hg 0.7520 0.0000 0.2595  6 Hg 2.98-3.15, 3 Mo 3.01-3.02, 3 Sc 3.04-3.07
Mo 0.0000 0.5000 0.5000  6 Hg 3.01-3.02, 2 Mo 3.05, 4 Sc 3.07
Mo 0.5000 0.0000 0.5000  6 Hg 3.01-3.02, 2 Mo 3.05, 4 Sc 3.07

The energy above the most stable polymorph in this dataset comes out at 116.7 meV per atom. The spin magnetization comes out at 0.00 μB per formula unit. Its raw total energy is -4.203 eV/atom. The symmetry is C2/m, No. 12.

5.
Crystalline TbGePt2 at its relaxed geometry, computed with PBE.

Cell lengths 4.3711, 4.3711, 14.2592 Å; angles 90.00, 90.00, 120.00 degrees
Closest atoms and distances in Å follow each position.
Atoms (fractional coordinates):
Tb 0.0000 0.0000 0.0000  8 Pt 3.04-3.05
Tb 0.3333 0.6667 0.6667  8 Pt 3.04-3.05
Tb 0.6667 0.3333 0.3333  8 Pt 3.04-3.05
Ge 0.0000 0.0000 0.5000  6 Pt 2.61
Ge 0.3333 0.6667 0.1667  6 Pt 2.61
Ge 0.6667 0.3333 0.8333  6 Pt 2.61
Pt 0.0000 0.0000 0.2131  3 Ge 2.61, 3 Pt 2.85
Pt 0.0000 0.0000 0.7869  3 Ge 2.61, 3 Pt 2.85
Pt 0.3333 0.6667 0.4535  3 Ge 2.61, 3 Pt 2.85
Pt 0.3333 0.6667 0.8798  3 Ge 2.61, 3 Pt 2.85
Pt 0.6667 0.3333 0.1202  3 Ge 2.61, 3 Pt 2.85
Pt 0.6667 0.3333 0.5465  3 Ge 2.61, 3 Pt 2.85

The spin magnetization comes out at 0.00 μB per formula unit. Its raw total energy is -6.204 eV/atom. The symmetry is R-3m, No. 166.

6.
Crystalline Cr2PdAu8 at its relaxed geometry, computed with PBE.

Cell lengths 7.5935, 7.5935, 7.5935 Å; angles 145.89, 125.66, 65.73 degrees
Closest atoms and distances in Å follow each position.
Atoms (fractional coordinates):
Cr 0.1920 0.1920 0.0000  10 Au 2.74-2.93
Cr 0.8080 0.8080 0.0000  10 Au 2.74-2.93
Pd 0.5000 0.5000 0.0000  12 Au 2.75-3.02
Au 0.0658 0.3491 0.7167  3 Cr 2.74-2.81, 1 Pd 2.75, 6 Au 2.86-3.01
Au 0.2052 0.0000 0.2052  2 Cr 2.83, 7 Au 2.85-2.94, 2 Pd 3.02
Au 0.3418 0.8418 0.5000  8 Au 2.86-2.97, 2 Cr 2.93, 2 Pd 3.01
Au 0.3676 0.6509 0.7167  3 Cr 2.74-2.81, 1 Pd 2.75, 6 Au 2.86-3.01
Au 0.6324 0.3491 0.2833  3 Cr 2.74-2.81, 1 Pd 2.75, 6 Au 2.86-3.01
Au 0.6582 0.1582 0.5000  8 Au 2.86-2.97, 2 Cr 2.93, 2 Pd 3.01
Au 0.7948 0.0000 0.7948  2 Cr 2.83, 7 Au 2.85-2.94, 2 Pd 3.02
Au 0.9342 0.6509 0.2833  3 Cr 2.74-2.81, 1 Pd 2.75, 6 Au 2.86-3.01

The spin magnetization comes out at 8.02 μB per formula unit. Its raw total energy is -4.539 eV/atom. The symmetry is Immm, No. 71.

7.
Crystalline Cs2NaCu2F6 at its relaxed geometry, computed with PBE.

Cell lengths 6.9655, 6.9655, 6.9655 Å; angles 55.15, 55.15, 55.15 degrees
Closest atoms and distances in Å follow each position.
Atoms (fractional coordinates):
Cs 0.2241 0.2241 0.2241  9 F 3.09-3.26
Cs 0.7759 0.7759 0.7759  9 F 3.09-3.26
Na 0.0000 0.0000 0.0000  6 F 2.34
Cu 0.4253 0.4253 0.4253  3 F 1.90
Cu 0.5747 0.5747 0.5747  3 F 1.90
F 0.2443 0.7534 0.7534  1 Cu 1.90
F 0.2466 0.2466 0.7557  1 Cu 1.90
F 0.2466 0.7557 0.2466  1 Cu 1.90
F 0.7534 0.2443 0.7534  1 Cu 1.90
F 0.7534 0.7534 0.2443  1 Cu 1.90
F 0.7557 0.2466 0.2466  1 Cu 1.90

The spin magnetization comes out at 1.00 μB per formula unit. Its raw total energy is -4.125 eV/atom. The symmetry is R-3m, No. 166. Its uncorrected formation energy is -2.08 eV per atom.

8.
Crystalline ZrSb2AuI at its relaxed geometry, computed with PBE.

Cell lengths 5.3567, 5.3567, 5.4398 Å; angles 90.00, 90.00, 90.00 degrees
Closest atoms and distances in Å follow each position.
Atoms (fractional coordinates):
Zr 0.0000 0.0000 0.0000  4 I 3.79, 8 Sb 3.82
Sb 0.0000 0.5000 0.5000  2 Au 2.68
Sb 0.5000 0.0000 0.5000  2 Au 2.68
Au 0.5000 0.5000 0.5000  4 Sb 2.68, 2 I 2.72
I 0.5000 0.5000 0.0000  2 Au 2.72

The energy above the most stable polymorph in this dataset comes out at 333.0 meV per atom. The spin magnetization comes out at 0.87 μB per formula unit. Its raw total energy is -3.602 eV/atom. The symmetry is P4/mmm, No. 123. Its uncorrected formation energy is 0.72 eV per atom.

Question: What is the formula in the first record?
Answer: Ac2TlPb